# 1
A PBEsol-optimized structure of ZrRe2Tc. Source: Alexandria via LeMat-Bulk, functional meta-GGA SCAN.

Properties
- symmetry = No. 10
- offset from the most stable computed form (eV per atom) = 0.063
- magnetic moment (μB/atom) = 0.000
- formation energy from the elements (eV per atom) = -0.04

```
ZrRe2Tc
1.0
2.7498 0.0000 -0.0010
0.0000 4.4784 0.0000
-0.9796 0.0000 5.0896
Re Tc Zr
2 1 1
direct
0.7610 0.0000 0.7575
0.2390 0.0000 0.2425
0.5000 0.5000 0.0000
0.0000 0.5000 0.5000
```

# 2
A PBEsol-optimized structure of SiSe. Source: Alexandria via LeMat-Bulk, functional meta-GGA SCAN.

Properties
- symmetry = No. 194
- uncorrected formation energy (kcal/mol of atoms) = 20.071
- magnetic moment (μB/atom) = 0.000

```
SiSe
1.0
4.7733 0.0000 0.0000
-2.3866 4.1338 0.0000
0.0000 0.0000 7.5895
Se Si
4 4
direct
0.0000 0.0000 0.7500
0.0000 0.0000 0.2500
0.6667 0.3333 0.2500
0.3333 0.6667 0.7500
0.6667 0.3333 0.9153
0.3333 0.6667 0.4153
0.3333 0.6667 0.0847
0.6667 0.3333 0.5847
```

# 3
A PBEsol-optimized structure of LiFe2Re. Source: Alexandria via LeMat-Bulk, functional meta-GGA SCAN.

Properties
- symmetry = No. 47
- magnetic moment (μB/atom) = 1.181
- formation energy from the elements (eV per atom) = 0.37

```
LiFe2Re
1.0
-1.4483 -1.8177 -1.4047
2.6702 -2.9810 1.1044
-2.2732 -0.7894 3.3653
Fe Li Re
2 1 1
direct
0.0000 0.0000 0.0000
0.5000 0.0000 0.5000
0.5000 0.5000 0.0000
0.0000 0.5000 0.5000
```

# 4
A PBEsol-optimized structure of KYFe2Br. Source: Alexandria via LeMat-Bulk, functional meta-GGA SCAN.

Properties
- symmetry = No. 123
- uncorrected formation energy (kcal/mol of atoms) = 22.509
- magnetic moment (μB/atom) = 0.924

```
KYFe2Br
1.0
-0.4333 -4.3220 1.4426
-0.7503 -1.3616 -4.3048
5.2968 -0.7591 -0.6832
Y K Fe Br
1 1 2 1
direct
0.5000 0.5000 0.5000
0.0000 0.0000 0.5000
0.0000 0.5000 0.0000
0.5000 0.0000 0.0000
0.0000 0.0000 0.0000
```

# 5
A PBEsol-optimized structure of MnCrRu2. Source: Alexandria via LeMat-Bulk, functional meta-GGA SCAN.

Properties
- symmetry = No. 38
- magnetic moment (μB/atom) = 0.086
- formation energy from the elements (eV per atom) = 0.06

```
MnCrRu2
1.0
-1.6000 -1.7164 1.1578
3.0772 -2.2572 0.9064
1.2866 3.1647 3.5128
Ru Mn Cr
2 1 1
direct
0.0794 0.0000 0.1588
0.4256 0.5000 0.8513
0.6922 0.5000 0.3844
0.8111 0.0000 0.6222
```

# 6
A PBEsol-optimized structure of BaSiMo2. Source: Alexandria via LeMat-Bulk, functional meta-GGA SCAN.

Properties
- symmetry = No. 44
- uncorrected formation energy (kcal/mol of atoms) = 23.241
- magnetic moment (μB/atom) = 0.000

```
BaSiMo2
1.0
3.1735 0.0000 0.0000
0.0000 5.3098 0.0000
-1.5868 -2.6549 4.9602
Ba Mo Si
1 2 1
direct
0.2594 0.7594 0.5187
0.0475 0.0475 0.0950
0.7311 0.2311 0.4623
0.4620 0.4620 0.9240
```

# 7
A PBEsol-optimized structure of YMg3. Source: Alexandria via LeMat-Bulk, functional meta-GGA SCAN.

Properties
- symmetry = No. 71
- magnetic moment (μB/atom) = 0.063
- formation energy from the elements (eV per atom) = -0.01

```
YMg3
1.0
-2.8320 2.3623 0.1599
-0.9641 -0.8115 -5.0862
-1.2687 -4.6543 3.6823
Y Mg
1 3
direct
0.0000 0.5000 0.0000
0.7648 0.7648 0.5296
0.5000 0.0000 0.0000
0.2352 0.2352 0.4704
```

# 8
A PBEsol-optimized structure of Sr2CuAg. Source: Alexandria via LeMat-Bulk, functional meta-GGA SCAN.

Properties
- symmetry = No. 38
- magnetic moment (μB/atom) = 0.000
- formation energy from the elements (eV per atom) = -0.18

```
Sr2CuAg
1.0
4.3700 0.0000 0.0000
0.0000 4.5154 0.0000
-2.1850 0.0000 5.7943
Sr Ag Cu
2 1 1
direct
0.9844 0.5000 0.9688
0.2656 0.0000 0.5311
0.5634 0.0000 0.1268
0.6866 0.5000 0.3732
```

# 9
A PBEsol-optimized structure of MnPd2N2. Source: Alexandria via LeMat-Bulk, functional meta-GGA SCAN.

Properties
- symmetry = No. 12
- uncorrected formation energy (kcal/mol of atoms) = 1.624
- magnetic moment (μB/atom) = 0.481

```
MnPd2N2
1.0
2.7934 0.0000 0.0000
1.3967 2.5488 -0.0141
1.3967 0.5065 7.4245
Mn Pd N
1 2 2
direct
0.0000 0.5000 0.5000
0.2584 0.3337 0.1496
0.7416 0.6663 0.8504
0.2627 0.8330 0.6416
0.7373 0.1670 0.3584
```

# 10
A PBEsol-optimized structure of TlCuF3. Source: Alexandria via LeMat-Bulk, functional meta-GGA SCAN.

Properties
- symmetry = No. 140
- uncorrected formation energy (kcal/mol of atoms) = -42.903
- magnetic moment (μB/atom) = 0.200

```
TlCuF3
1.0
-5.1517 0.2568 2.5138
0.6726 -3.4128 -4.5635
4.3155 -2.5289 2.8119
Tl Cu F
2 2 6
direct
0.0000 0.7500 0.7500
0.0000 0.2500 0.2500
0.5000 0.0000 0.5000
0.5000 0.5000 0.0000
0.5000 0.2684 0.2316
0.5000 0.7316 0.7684
0.9633 0.2316 0.7316
0.5000 0.7500 0.2500
0.5000 0.2500 0.7500
0.0367 0.7684 0.2684
```

# 11
A PBEsol-optimized structure of DyGaGe2O7. Source: Alexandria via LeMat-Bulk, functional meta-GGA SCAN.

Properties
- symmetry = No. 14
- uncorrected formation energy (kcal/mol of atoms) = -54.776
- magnetic moment (μB/atom) = 0.000

```
DyGaGe2O7
1.0
6.5556 0.0000 0.0000
0.0000 7.1045 0.0013
0.0000 1.1800 11.2051
Dy Ga Ge O
4 4 8 28
direct
0.6446 0.2660 0.4734
0.3554 0.7340 0.5266
0.1446 0.2340 0.0266
0.8554 0.7660 0.9734
0.5986 0.9789 0.7306
0.4014 0.0211 0.2694
0.0986 0.5211 0.7694
0.9014 0.4789 0.2306
0.3418 0.7590 0.9599
0.6582 0.2410 0.0401
0.8418 0.7410 0.5401
0.1582 0.2590 0.4599
0.0880 0.0742 0.7251
0.9120 0.9258 0.2749
0.5880 0.4258 0.7749
0.4120 0.5742 0.2251
0.6206 0.2389 0.6855
0.3794 0.7611 0.3145
0.1206 0.2611 0.8145
0.8794 0.7389 0.1855
0.1675 0.9340 0.9780
0.8325 0.0660 0.0220
0.6675 0.5660 0.5220
0.3325 0.4340 0.4780
0.3870 0.5691 0.7177
0.6130 0.4309 0.2823
0.8870 0.9309 0.7823
0.1130 0.0691 0.2177
0.9969 0.1775 0.5816
0.0031 0.8225 0.4184
0.4969 0.3225 0.9184
0.5031 0.6775 0.0816
0.5560 0.8383 0.8767
0.4440 0.1617 0.1233
0.0560 0.6617 0.6233
0.9440 0.3383 0.3767
0.1574 0.5856 0.9270
0.8426 0.4144 0.0730
0.6574 0.9144 0.5730
0.3426 0.0856 0.4270
0.3106 0.9593 0.6862
0.6894 0.0407 0.3138
0.8106 0.5407 0.8138
0.1894 0.4593 0.1862
```

# 12
A PBEsol-optimized structure of Zn2Cr3O8. Source: Alexandria via LeMat-Bulk, functional meta-GGA SCAN.

Properties
- symmetry = No. 186
- uncorrected formation energy (kcal/mol of atoms) = -46.898
- magnetic moment (μB/atom) = 0.462

```
Zn2Cr3O8
1.0
5.7592 0.0000 0.0000
-2.8796 4.9876 0.0000
0.0000 0.0000 9.2708
Zn Cr O
4 6 16
direct
0.3333 0.6667 0.9746
0.6667 0.3333 0.4746
0.3333 0.6667 0.5782
0.6667 0.3333 0.0782
0.3221 0.1610 0.7581
0.1610 0.3221 0.2581
0.8390 0.1610 0.7581
0.1610 0.8390 0.2581
0.6779 0.8390 0.2581
0.8390 0.6779 0.7581
0.1640 0.3280 0.8512
0.3280 0.1640 0.3512
0.8360 0.1640 0.3512
0.1640 0.8360 0.8512
0.6720 0.8360 0.8512
0.8360 0.6720 0.3512
0.4807 0.9613 0.1380
0.9613 0.4807 0.6380
0.5193 0.4807 0.6380
0.4807 0.5193 0.1380
0.0000 0.0000 0.6464
0.0000 0.0000 0.1464
0.6667 0.3333 0.8652
0.0387 0.5193 0.1380
0.5193 0.0387 0.6380
0.3333 0.6667 0.3652
```

# 13
A PBEsol-optimized structure of TmSi2. Source: Alexandria via LeMat-Bulk, functional meta-GGA SCAN.

Properties
- symmetry = No. 191
- uncorrected formation energy (kcal/mol of atoms) = -10.255
- magnetic moment (μB/atom) = 0.000

```
TmSi2
1.0
-0.6861 -0.7196 3.6187
-3.8691 -0.8652 -0.9056
2.8075 -2.9418 -0.0526
Si Tm
2 1
direct
0.5000 0.3333 0.6667
0.5000 0.6667 0.3333
0.0000 0.0000 0.0000
```

# 14
A PBEsol-optimized structure of Mg2TlIn. Source: Alexandria via LeMat-Bulk, functional meta-GGA SCAN.

Properties
- symmetry = No. 65
- magnetic moment (μB/atom) = 0.000
- formation energy from the elements (eV per atom) = -0.14

```
Mg2TlIn
1.0
-1.6302 2.9327 -0.4120
-2.6645 -0.8499 4.5118
4.3236 2.6266 1.6080
Tl Mg In
1 2 1
direct
0.5000 0.0000 0.0000
0.0000 0.5000 0.0000
0.0000 0.0000 0.5000
0.5000 0.5000 0.5000
```

# 15
A PBEsol-optimized structure of Nd4Re6O19. Source: Alexandria via LeMat-Bulk, functional meta-GGA SCAN.

Properties
- symmetry = No. 197
- uncorrected formation energy (kcal/mol of atoms) = -54.048
- magnetic moment (μB/atom) = 0.000

```
Nd4Re6O19
1.0
7.7589 0.0000 0.0000
-2.5863 7.3151 0.0000
-2.5863 -3.6576 6.3351
Nd Re O
4 6 19
direct
0.3108 0.0000 0.0000
0.6892 0.6892 0.6892
0.0000 0.0000 0.3108
0.0000 0.3108 0.0000
0.6336 0.1336 0.5000
0.3664 0.8664 0.5000
0.1336 0.5000 0.6336
0.8664 0.5000 0.3664
0.5000 0.3664 0.8664
0.5000 0.6336 0.1336
0.3187 0.3187 0.0000
0.6813 0.6813 0.0000
0.3187 0.0000 0.3187
0.6813 0.0000 0.6813
0.0000 0.6813 0.6813
0.0000 0.3187 0.3187
0.0000 0.0000 0.0000
0.6450 0.9444 0.2648
0.3550 0.6198 0.2994
0.3204 0.0556 0.7006
0.3802 0.7352 0.6796
0.6796 0.3802 0.7352
0.0556 0.7006 0.3204
0.6198 0.2994 0.3550
0.9444 0.2648 0.6450
0.7006 0.3204 0.0556
0.2648 0.6450 0.9444
0.2994 0.3550 0.6198
0.7352 0.6796 0.3802
```

# 16
A PBEsol-optimized structure of BaPbO3. Source: Alexandria via LeMat-Bulk, functional meta-GGA SCAN.

Properties
- symmetry = No. 221
- uncorrected formation energy (kcal/mol of atoms) = -42.253
- magnetic moment (μB/atom) = 0.000

```
BaPbO3
1.0
-3.5837 -0.1489 -2.3564
1.6698 -3.1880 -2.3381
-1.6693 -2.8692 2.7201
Pb Ba O
1 1 3
direct
0.0000 0.0000 0.0000
0.5000 0.5000 0.5000
0.5000 0.0000 0.0000
0.0000 0.5000 0.0000
0.0000 0.0000 0.5000
```

# 17
A PBEsol-optimized structure of CaTiSi4O10. Source: Alexandria via LeMat-Bulk, functional meta-GGA SCAN.

Properties
- symmetry = No. 130
- uncorrected formation energy (kcal/mol of atoms) = -69.020
- magnetic moment (μB/atom) = 0.125

```
CaTiSi4O10
1.0
-5.1950 -4.7702 -2.2880
4.9869 -5.4860 0.1149
-3.6485 -3.0117 14.5632
Ca Ti Si O
4 4 16 40
direct
0.5000 0.5000 0.5000
0.0000 0.0000 0.5000
0.0000 0.0000 0.0000
0.5000 0.5000 0.0000
0.5000 0.0000 0.5771
0.0000 0.5000 0.9229
0.0000 0.5000 0.4229
0.5000 0.0000 0.0771
0.1695 0.2510 0.6483
0.8305 0.7490 0.6483
0.2510 0.1695 0.8517
0.7510 0.3305 0.6483
0.2490 0.6695 0.6483
0.3305 0.7510 0.8517
0.6695 0.2490 0.8517
0.7490 0.8305 0.8517
0.3305 0.2490 0.3517
0.6695 0.7510 0.3517
0.2490 0.3305 0.1483
0.7490 0.1695 0.3517
0.2510 0.8305 0.3517
0.1695 0.7490 0.1483
0.8305 0.2510 0.1483
0.7510 0.6695 0.1483
0.2482 0.1041 0.5812
0.7518 0.8959 0.5812
0.1041 0.2482 0.9188
0.6041 0.2518 0.5812
0.3959 0.7482 0.5812
0.2518 0.6041 0.9188
0.7482 0.3959 0.9188
0.8959 0.7518 0.9188
0.2518 0.3959 0.4188
0.7482 0.6041 0.4188
0.3959 0.2518 0.0812
0.8959 0.2482 0.4188
0.1041 0.7518 0.4188
0.2482 0.8959 0.0812
0.7518 0.1041 0.0812
0.2488 0.0483 0.3720
0.6041 0.7482 0.0812
0.7488 0.5483 0.6280
0.4517 0.2512 0.8720
0.9517 0.2488 0.6280
0.0483 0.7512 0.6280
0.2488 0.9517 0.8720
0.7512 0.0483 0.8720
0.5483 0.7488 0.8720
0.7031 0.7031 0.2500
0.7969 0.2031 0.2500
0.2031 0.7969 0.2500
0.2969 0.2969 0.2500
0.7969 0.7969 0.7500
0.7031 0.2969 0.7500
0.2969 0.7031 0.7500
0.2031 0.2031 0.7500
0.9517 0.7512 0.1280
0.7488 0.4517 0.1280
0.2512 0.5483 0.1280
0.4517 0.7488 0.3720
0.5483 0.2512 0.3720
0.0483 0.2488 0.1280
0.7512 0.9517 0.3720
0.2512 0.4517 0.6280
```

# 18
A PBEsol-optimized structure of CrCuTcSn2. Source: Alexandria via LeMat-Bulk, functional meta-GGA SCAN.

Properties
- symmetry = No. 123
- magnetic moment (μB/atom) = 0.232
- formation energy from the elements (eV per atom) = 0.99

```
CrCuTcSn2
1.0
4.4990 0.0000 0.0000
0.0000 4.7676 0.0000
0.0000 0.0000 4.7676
Cr Sn Cu Tc
1 2 1 1
direct
0.5000 0.0000 0.0000
0.0000 0.0000 0.5000
0.0000 0.5000 0.0000
0.0000 0.0000 0.0000
0.5000 0.5000 0.5000
```

# 19
A PBEsol-optimized structure of ErH4I3O11. Source: Alexandria via LeMat-Bulk, functional meta-GGA SCAN.

Properties
- symmetry = No. 2
- magnetic moment (μB/atom) = 0.000
- final energy (eV per atom) = -13.893

```
ErH4I3O11
1.0
7.2302 0.0912 0.0600
2.3829 7.0633 0.0518
0.8572 1.4521 9.0159
Er H I O
2 8 6 22
direct
0.7767 0.3370 0.3236
0.2233 0.6630 0.6764
0.6791 0.4478 0.0207
0.3209 0.5522 0.9793
0.6137 0.2596 0.0654
0.3863 0.7404 0.9346
0.9925 0.9261 0.3618
0.0075 0.0739 0.6382
0.8132 0.9595 0.2528
0.1868 0.0405 0.7472
0.5917 0.1549 0.6939
0.4083 0.8451 0.3061
0.7633 0.5953 0.6359
0.2367 0.4047 0.3641
0.8374 0.7436 0.0087
0.1626 0.2564 0.9913
0.7939 0.2132 0.5727
0.2061 0.7867 0.4273
0.4958 0.4040 0.7296
0.5042 0.5960 0.2704
0.7311 0.0557 0.8601
0.2689 0.9443 0.1399
0.8102 0.5774 0.4377
0.1898 0.4226 0.5623
0.5107 0.7588 0.6141
0.4893 0.2412 0.3859
0.8811 0.7770 0.6413
0.1189 0.2230 0.3587
0.9317 0.5161 0.1458
0.0683 0.4839 0.8542
0.6547 0.6747 0.9293
0.3453 0.3253 0.0707
0.6894 0.8841 0.1500
0.3106 0.1159 0.8500
0.7141 0.3163 0.0831
0.2859 0.6837 0.9169
0.8745 0.0229 0.3121
0.1255 0.9771 0.6879
```